# SiNiN2 | Alexandria | PBE | relaxed
data_SiNiN2
_space_group_name_H-M_alt 'R -3 m'
_space_group_IT_number 166
_space_group_name_Hall '-R 3 2"'
_cell_length_a 2.7722
_cell_length_b 2.7722
_cell_length_c 16.8962
_cell_angle_alpha 90.00
_cell_angle_beta 90.00
_cell_angle_gamma 120.00
loop_
_atom_site_label
_atom_site_fract_x
_atom_site_fract_y
_atom_site_fract_z
_atom_site_occupancy
Si1 0.0000 0.0000 0.0000 1
Ni1 0.0000 0.0000 0.5000 1
N1 0.0000 0.0000 0.3926 1
# - E_tot: -85.54 eV for the cell shown
# - V: 9.37 Å³/atom
# - E_form (uncorrected): -0.16 eV/atom
# - Magnetization: 0.0 μB/f.u.